Below is crystalline NdTh2Rh at its relaxed geometry, with properties calculated at the GGA-PBE level.

Computed properties:
energy of formation from the pure elements = -0.452 eV/atom
total energy = -7.192 eV per atom
E above lowest polymorph = 0 meV/atom
DOS(E_F) = 9.7 states/eV per cell

```
data_NdTh2Rh
_space_group_name_H-M_alt 'P 1'
_space_group_IT_number 1
_space_group_name_Hall 'P 1'
_cell_length_a 3.8324
_cell_length_b 6.3145
_cell_length_c 9.9914
_cell_angle_alpha 90.00
_cell_angle_beta 90.00
_cell_angle_gamma 107.61
loop_
_atom_site_label
_atom_site_type_symbol
_atom_site_fract_x
_atom_site_fract_y
_atom_site_fract_z
Nd1 Nd 0.9181 0.8352 0.2500
Nd2 Nd 0.0819 0.1648 0.7500
Th1 Th 0.3618 0.7233 0.5592
Th2 Th 0.6382 0.2767 0.4408
Th3 Th 0.3618 0.7233 0.9408
Th4 Th 0.6382 0.2767 0.0592
Rh1 Rh 0.7957 0.5914 0.7500
Rh2 Rh 0.2043 0.4086 0.2500
```